# 1
# AcZnCd4

AcZnCd4 after structural relaxation (GGA-PBE, the Alexandria database). Values from VASP.

Output
E above lowest polymorph, eV/atom: 0.000
Energy relative to the elements, eV per atom: -0.2178

```
&SYSTEM
  ibrav = 0, nat = 12, ntyp = 3
/
ATOMIC_SPECIES
Ac 227.00 Ac.upf
Zn 65.41 Zn.upf
Cd 112.41 Cd.upf
CELL_PARAMETERS angstrom
2.309 -8.688 0.000
2.309 8.688 0.000
0.000 0.000 7.463
ATOMIC_POSITIONS crystal
Ac 0.125 0.875 0.750
Ac 0.875 0.125 0.250
Zn 0.234 0.766 0.250
Zn 0.766 0.234 0.750
Cd 0.073 0.927 0.250
Cd 0.321 0.679 0.557
Cd 0.321 0.679 0.943
Cd 0.500 0.500 0.000
Cd 0.500 0.500 0.500
Cd 0.679 0.321 0.057
Cd 0.679 0.321 0.443
Cd 0.927 0.073 0.750
```


# 2
# KThPa2O8

KThPa2O8 after structural relaxation (GGA-PBE, the Alexandria database). Values from VASP.

Output
Formation energy without anion corrections, kJ per mole of atoms: -308.5

```
&SYSTEM
  ibrav = 0, nat = 12, ntyp = 4
/
ATOMIC_SPECIES
K 39.10 K.upf
Th 232.04 Th.upf
Pa 231.04 Pa.upf
O 16.00 O.upf
CELL_PARAMETERS angstrom
-2.794 2.794 5.460
2.794 -2.794 5.460
2.794 2.794 -5.460
ATOMIC_POSITIONS crystal
K 0.000 0.000 0.000
Th 0.750 0.250 0.500
Pa 0.250 0.750 0.500
Pa 0.500 0.500 0.000
O 0.147 0.133 0.541
O 0.147 0.606 0.014
O 0.394 0.408 0.541
O 0.394 0.853 0.986
O 0.592 0.133 0.986
O 0.592 0.606 0.459
O 0.867 0.408 0.014
O 0.867 0.853 0.459
```


# 3
# KTlCoI4

KTlCoI4 after structural relaxation (GGA-PBE, the Alexandria database). Values from VASP.

Output
Formation energy without anion corrections, kJ per mole of atoms: -59.6

```
&SYSTEM
  ibrav = 0, nat = 14, ntyp = 4
/
ATOMIC_SPECIES
K 39.10 K.upf
Tl 204.38 Tl.upf
Co 58.93 Co.upf
I 126.90 I.upf
CELL_PARAMETERS angstrom
7.882 0.000 0.000
0.000 8.115 0.000
-2.990 0.000 9.188
ATOMIC_POSITIONS crystal
K 0.225 0.250 0.052
K 0.775 0.750 0.948
Tl 0.259 0.250 0.567
Tl 0.741 0.750 0.433
Co 0.220 0.750 0.797
Co 0.780 0.250 0.203
I 0.005 0.501 0.735
I 0.005 0.999 0.735
I 0.392 0.750 0.072
I 0.414 0.750 0.626
I 0.586 0.250 0.374
I 0.608 0.250 0.928
I 0.995 0.001 0.265
I 0.995 0.499 0.265
```